(1)
First-principles (GGA+U) data for an optimized crystal structure of GeMoO2F, as listed in Alexandria.

- Calculated total energy: -0.42877 Ry per atom
- Calculated density: 5.161 g/cm³

a b c (Å): 4.1260 4.1260 4.1500
angles (deg): 90.00 90.00 90.00
Space group P4/mmm (No. 123)
Inequivalent atoms, fractional coordinates:
Ge 0.0000 0.0000 0.0000 x1
Mo 0.5000 0.5000 0.5000 x1
O 0.0000 0.5000 0.5000 x2
F 0.5000 0.5000 0.0000 x1

(2)
First-principles (GGA+U) data for an optimized crystal structure of Ge2MoPtF, as listed in Alexandria.

- Excess energy over the best structure of this formula in the dataset: 0.00 eV per formula unit
- Calculated density: 8.199 g/cm³

a b c (Å): 4.3645 4.3645 4.8408
angles (deg): 90.00 90.00 90.00
Space group P4/mmm (No. 123)
Inequivalent atoms, fractional coordinates:
Ge 0.0000 0.5000 0.0000 x2
Mo 0.0000 0.0000 0.5000 x1
Pt 0.5000 0.5000 0.5000 x1
F 0.5000 0.5000 0.0000 x1

(3)
First-principles (GGA+U) data for an optimized crystal structure of Ge2MoPtF, as listed in Alexandria.

- Excess energy over the best structure of this formula in the dataset: 1.48 eV per formula unit
- Calculated density: 6.476 g/cm³

a b c (Å): 4.9685 4.9685 4.7297
angles (deg): 90.00 90.00 90.00
Space group P4/mmm (No. 123)
Inequivalent atoms, fractional coordinates:
Ge 0.0000 0.5000 0.0000 x2
Mo 0.0000 0.0000 0.0000 x1
Pt 0.0000 0.0000 0.5000 x1
F 0.5000 0.5000 0.5000 x1

(4)
First-principles (GGA+U) data for an optimized crystal structure of Rb2GeMoF6, as listed in Alexandria.

- Calculated total energy: -0.35262 Ry per atom
- Calculated density: 4.036 g/cm³

a b c (Å): 6.4860 6.4860 8.8706
angles (deg): 90.00 90.00 90.00
Space group I4/mmm (No. 139)
Inequivalent atoms, fractional coordinates:
Rb 0.0000 0.5000 0.2500 x4
Ge 0.0000 0.0000 0.0000 x2
Mo 0.0000 0.0000 0.5000 x2
F 0.0000 0.0000 0.2572 x4
F 0.2420 0.2420 0.0000 x8

(5)
First-principles (GGA+U) data for an optimized crystal structure of Ge2MoRhF, as listed in Alexandria.

- Calculated total energy: -0.31763 Ry per atom
- Calculated density: 5.297 g/cm³

a b c (Å): 4.9468 4.9468 4.6523
angles (deg): 90.00 90.00 90.00
Space group P4/mmm (No. 123)
Inequivalent atoms, fractional coordinates:
Ge 0.0000 0.5000 0.0000 x2
Mo 0.0000 0.0000 0.0000 x1
Rh 0.0000 0.0000 0.5000 x1
F 0.5000 0.5000 0.5000 x1

(6)
First-principles (GGA+U) data for an optimized crystal structure of SnGeMoF2, as listed in Alexandria.

- Calculated total energy: -0.32217 Ry per atom
- Calculated density: 4.998 g/cm³

a b c (Å): 4.2580 4.2580 5.9614
angles (deg): 90.00 90.00 90.00
Space group P4/mmm (No. 123)
Inequivalent atoms, fractional coordinates:
Sn 0.0000 0.0000 0.0000 x1
Ge 0.5000 0.5000 0.5000 x1
Mo 0.0000 0.0000 0.5000 x1
F 0.0000 0.5000 0.0000 x2

(7)
First-principles (GGA+U) data for an optimized crystal structure of TlGe2MoF, as listed in Alexandria.

- Calculated total energy: -0.31027 Ry per atom
- Calculated density: 6.762 g/cm³

a b c (Å): 5.2042 5.2042 4.2125
angles (deg): 90.00 90.00 90.00
Space group P4/mmm (No. 123)
Inequivalent atoms, fractional coordinates:
Tl 0.0000 0.0000 0.0000 x1
Ge 0.0000 0.5000 0.5000 x2
Mo 0.5000 0.5000 0.5000 x1
F 0.5000 0.5000 0.0000 x1

(8)
First-principles (GGA+U) data for an optimized crystal structure of ZrGeMoF2, as listed in Alexandria.

- Calculated total energy: -0.45036 Ry per atom
- Calculated density: 5.089 g/cm³

a b c (Å): 4.1596 4.1596 5.6162
angles (deg): 90.00 90.00 90.00
Space group P4/mmm (No. 123)
Inequivalent atoms, fractional coordinates:
Zr 0.0000 0.0000 0.0000 x1
Ge 0.0000 0.0000 0.5000 x1
Mo 0.5000 0.5000 0.5000 x1
F 0.0000 0.5000 0.0000 x2

Table of total moment (μB per formula unit), in record order: 2.89, 3.78, 0.37, 4.00, 0.50, 3.35, 1.87, 3.98